1.
OsPd3O: optimized geometry, GGA-PBE.

Computed properties:
The calculation puts the calculated total energy at -28.35 eV for the cell shown.

a = 4.1734 Å, b = 4.1734 Å, c = 4.1734 Å
α = 90.00°, β = 90.00°, γ = 90.00°
Last column: nearest neighbours and their distance in Å.
Space group Pm-3m (No. 221)
One atom of each set of equivalent atoms:
Os: 0.0000 0.0000 0.0000 (multiplicity 1)  12 Pd 2.95
Pd: 0.0000 0.5000 0.5000 (multiplicity 3)  2 O 2.09
O: 0.5000 0.5000 0.5000 (multiplicity 1)  6 Pd 2.09

2.
Na2GeH5: optimized geometry, GGA-PBE.

Computed properties:
The calculation puts the calculated total energy at -46.38 eV for the cell shown.

a = 5.3113 Å, b = 5.3113 Å, c = 6.7243 Å
α = 90.00°, β = 90.00°, γ = 90.00°
Last column: nearest neighbours and their distance in Å.
Space group I4mm (No. 107)
One atom of each set of equivalent atoms:
Na: 0.0000 0.5000 0.0000 (multiplicity 4)  10 H 2.48-2.66
Ge: 0.0000 0.0000 0.2571 (multiplicity 2)  1 H 1.59
H: 0.0000 0.0000 0.0207 (multiplicity 2)  1 Ge 1.59
H: 0.2378 0.2378 0.2596 (multiplicity 8)  1 Ge 1.79

3.
Zn8AgAu3: optimized geometry, GGA-PBE.

Computed properties:
The calculation puts the calculated total energy at -43.91 eV for the cell shown. For the formation energy, the calculation gives 0.077 eV per atom.

a = 7.0769 Å, b = 7.0769 Å, c = 9.3659 Å
α = 90.00°, β = 90.00°, γ = 90.00°
Last column: nearest neighbours and their distance in Å.
Space group I-42m (No. 121)
One atom of each set of equivalent atoms:
Zn: 0.1393 0.1393 0.2640 (multiplicity 8)  3 Zn 2.49-2.79, 3 Au 2.61-2.74
Zn: 0.2483 0.2483 0.5268 (multiplicity 8)  2 Zn 2.49-2.69, 1 Au 2.50, 1 Ag 2.53
Ag: 0.0000 0.0000 0.0000 (multiplicity 2)  4 Zn 2.53
Au: 0.0000 0.0000 0.5000 (multiplicity 2)  8 Zn 2.50-2.61
Au: 0.0000 0.5000 0.2500 (multiplicity 4)  4 Zn 2.74

4.
TlSiHg: optimized geometry, GGA-PBE.

Computed properties:
The calculation puts the calculated total energy at -27.13 eV for the cell shown.

a = 3.9806 Å, b = 5.3822 Å, c = 13.6069 Å
α = 90.00°, β = 90.00°, γ = 90.00°
Last column: nearest neighbours and their distance in Å.
Space group Fmm2 (No. 42)
One atom of each set of equivalent atoms:
Tl: 0.0000 0.0000 0.0000 (multiplicity 4)  2 Si 3.03, 2 Hg 3.27, 4 Tl 3.35
Si: 0.0000 0.0000 0.6682 (multiplicity 4)  2 Hg 2.77, 2 Tl 3.03
Hg: 0.0000 0.0000 0.3095 (multiplicity 4)  2 Si 2.77